# Ge2AuI (PBE, relaxed)
# **Energy above the most stable polymorph in this dataset**: 11.61 kcal/mol of atoms
# **ΔE_f (raw)**: 0.49 eV/atom
# **Final energy**: -12.1 eV for the cell shown
# **Space group**: Fm-3m, No. 225
data_Ge2AuI
_chemical_formula_sum 'Ge2 Au1 I1'
_cell_length_a 5.062
_cell_length_b 5.062
_cell_length_c 5.062
_cell_angle_alpha 60.00
_cell_angle_beta 60.00
_cell_angle_gamma 60.00
_space_group_name_H-M_alt 'P 1'
_space_group_IT_number 1
_space_group_name_Hall 'P 1'
loop_
_atom_site_label
_atom_site_type_symbol
_atom_site_fract_x
_atom_site_fract_y
_atom_site_fract_z
I1 I 0.000 0.000 0.000
Ge1 Ge 0.250 0.250 0.250
Ge2 Ge 0.750 0.750 0.750
Au1 Au 0.500 0.500 0.500